# 1
The following is a PBE calculation of a geometry-optimized SmBe2Pt2 structure, from Alexandria via LeMat-Bulk.

Output
ΔE_f = -400.9 kJ/mol of formula units
Energy above the most stable polymorph in this dataset = 51.1 meV/atom
Space-group type = Fmmm, No. 69

a = 4.084 Å, b = 4.084 Å, c = 9.803 Å
α = 90.00°, β = 90.00°, γ = 97.82°
Atoms (fractional coordinates):
Sm1 0.750 0.750 0.250
Sm2 0.250 0.250 0.750
Be1 0.250 0.750 0.000
Be2 0.750 0.250 0.500
Be3 0.250 0.750 0.500
Be4 0.750 0.250 0.000
Pt1 0.750 0.750 0.609
Pt2 0.250 0.250 0.109
Pt3 0.750 0.750 0.891
Pt4 0.250 0.250 0.391

# 2
The following is a PBE calculation of a geometry-optimized SrLiIr2Os structure, from Alexandria via LeMat-Bulk.

Output
ΔE_f = 209.1 kJ/mol of formula units
Space-group type = P4/mmm, No. 123

a = 4.801 Å, b = 4.772 Å, c = 4.801 Å
α = 90.00°, β = 90.00°, γ = 90.00°
Atoms (fractional coordinates):
Sr1 0.500 0.500 0.500
Ir1 0.000 0.000 0.500
Ir2 0.500 0.000 0.000
Os1 0.000 0.000 0.000
Li1 0.000 0.500 0.000

# 3
The following is a PBE calculation of a geometry-optimized Ce2DyThTe5 structure, from Alexandria via LeMat-Bulk.

Output
Formation energy without anion corrections = -693 meV/atom
Space-group type = P4/mmm, No. 123

a = 5.497 Å, b = 5.497 Å, c = 11.823 Å
α = 90.00°, β = 90.00°, γ = 90.00°
Site moments in Bohr magnetons follow the coordinates.
Atoms (fractional coordinates):
Ce1 0.500 0.500 0.335  1.40
Ce2 0.500 0.500 0.665  1.40
Dy1 0.000 0.000 0.500  0.11
Th1 0.000 0.000 0.000  0.21
Te1 0.000 0.500 0.500  -0.02
Te2 0.500 0.000 0.500  -0.02
Te3 0.000 0.000 0.752  -0.01
Te4 0.000 0.000 0.248  -0.01
Te5 0.500 0.500 0.000  -0.01

# 4
The following is a PBE calculation of a geometry-optimized SrGaF3 structure, from Alexandria via LeMat-Bulk.

Output
Formation energy without anion corrections = -2416 meV/atom
Energy above the most stable polymorph in this dataset = 339.5 meV/atom
Space-group type = Pm-3m, No. 221

a = 4.503 Å, b = 4.503 Å, c = 4.503 Å
α = 90.00°, β = 90.00°, γ = 90.00°
Atoms (fractional coordinates):
Sr1 0.500 0.500 0.500
Ga1 0.000 0.000 0.000
F1 0.000 0.500 0.000
F2 0.000 0.000 0.500
F3 0.500 0.000 0.000

Number 1: final energy -56.8 eV for the cell shown. Number 2: final energy -30.4 eV for the cell shown. Number 3: final energy -45.8 eV for the cell shown. Number 4: final energy -22.4 eV for the cell shown.